Entry 1:
Entry from the Alexandria database: a relaxed structure of La2YMg (PBE).

It has space group C2/m (No. 12), with a = 6.873 Å, b = 11.753 Å, c = 3.499 Å, α = 90.00°, β = 112.94° and γ = 90.00°. Symmetry generates all atoms from La at (0.250, 0.250, 0.000), Y at (0.000, 0.000, 0.500) and Mg at (0.000, 0.500, 0.500).

The spin magnetization is 0.000 μB per atom. The total energy is -4.41 eV/atom.



Entry 2:
Entry from the Alexandria database: a relaxed structure of La2YMg (PBE).

It has space group Pmm2 (No. 25), with a = 3.629 Å, b = 4.977 Å, c = 7.126 Å, α = 90.00°, β = 90.00° and γ = 90.00°. Symmetry generates all atoms from La at (0.000, 0.000, 0.000), La at (0.500, 0.500, 0.256), Y at (0.500, 0.500, 0.737) and Mg at (0.000, 0.000, 0.508).

The spin magnetization is 0.000 μB per atom. The total energy is -4.47 eV/atom.



Entry 3:
Entry from the Alexandria database: a relaxed structure of LaY2Mg2 (PBE).

It has space group P4/mbm (No. 127), with a = 9.189 Å, b = 9.189 Å, c = 3.624 Å, α = 90.00°, β = 90.00° and γ = 90.00°. Symmetry generates all atoms from La at (0.000, 0.000, 0.000), Y at (0.174, 0.326, 0.500) and Mg at (0.121, 0.621, 0.000).

The spin magnetization is 0.000 μB per atom. For the distance to the lowest polymorph of the same formula, the calculation gives 52 kJ/mol of formula units.



Entry 4:
Entry from the Alexandria database: a relaxed structure of La8Y5Mg (PBE).

It has space group C2 (No. 5), with a = 14.054 Å, b = 10.274 Å, c = 9.943 Å, α = 90.00°, β = 134.92° and γ = 90.00°. Symmetry generates all atoms from La at (0.063, 0.000, 0.228), La at (0.099, 0.329, 0.412), La at (0.164, 0.661, 0.100), La at (0.187, 0.832, 0.786), Y at (0.000, 0.081, 0.500), Y at (0.100, 0.660, 0.404), Y at (0.197, 0.501, 0.797) and Mg at (0.000, 0.331, 0.000).

The spin magnetization is 0.000 μB per atom. The total energy is -5.00 eV/atom.



Entry 5:
Entry from the Alexandria database: a relaxed structure of LaY5Mg4 (PBE).

It has space group P4/mmm (No. 123), with a = 3.776 Å, b = 3.776 Å, c = 20.382 Å, α = 90.00°, β = 90.00° and γ = 90.00°. Symmetry generates all atoms from La at (0.000, 0.000, 0.000), Y at (0.500, 0.500, 0.124), Y at (0.500, 0.500, 0.312), Y at (0.500, 0.500, 0.500), Mg at (0.000, 0.000, 0.218) and Mg at (0.000, 0.000, 0.406).

The spin magnetization is 0.000 μB per atom. The total energy is -4.44 eV/atom.



Entry 6:
Entry from the Alexandria database: a relaxed structure of La8Y4Mg (PBE).

It has space group R-3m (No. 166, hexagonal axes), with a = 7.2603 Å, b = 7.2603 Å, c = 30.6759 Å, α = 90.00°, β = 90.00° and γ = 120.00°. Symmetry generates all atoms from La at (0.0000, 0.0000, 0.2150), La at (0.0162, 0.5081, 0.7596), Y at (0.0000, 0.0000, 0.0000), Y at (0.0000, 0.5000, 0.0000) and Mg at (0.0000, 0.0000, 0.5000).

The spin magnetization is 0.000 μB per atom. The total energy is -5.00 eV/atom.



Entry 7:
Entry from the Alexandria database: a relaxed structure of LaY3Mg (PBE).

It has space group Pm-3m (No. 221), with a = 5.646 Å, b = 5.646 Å, c = 5.646 Å, α = 90.00°, β = 90.00° and γ = 90.00°. Symmetry generates all atoms from La at (0.000, 0.000, 0.000), Y at (0.000, 0.000, 0.500) and Mg at (0.500, 0.500, 0.500).

The spin magnetization is 0.000 μB per atom. For the distance to the lowest polymorph of the same formula, the calculation gives 386 kJ/mol of formula units.



Entry 8:
Entry from the Alexandria database: a relaxed structure of La15YMg4 (PBE).

It has space group P4/mmm (No. 123), with a = 5.147 Å, b = 5.147 Å, c = 25.700 Å, α = 90.00°, β = 90.00° and γ = 90.00°. Symmetry generates all atoms from La at (0.000, 0.000, 0.000), La at (0.000, 0.000, 0.202), La at (0.000, 0.000, 0.401), La at (0.000, 0.500, 0.102), La at (0.000, 0.500, 0.302), La at (0.000, 0.500, 0.500), Y at (0.500, 0.500, 0.000), Mg at (0.500, 0.500, 0.203) and Mg at (0.500, 0.500, 0.401).

The spin magnetization is 0.000 μB per atom. The total energy is -4.35 eV/atom.